Entry 1:
This record from the Alexandria database describes a relaxed structure of HfRhS2. The functional is PBE.

Computed properties:
Theoretical density ... 7.63 Mg/m³
Polymorph energy (0 for the lowest one) ... 0.0 meV/atom
Energy relative to the elements, uncorrected ... -74.1 kJ per mole of atoms
Total magnetic moment ... 0.00 μB/f.u.

abc: 4.591 4.591 14.268
angles: 90.00 90.00 90.00
Space group I-42d (No. 122)
Asymmetric unit:
Hf: 0.000 0.000 0.000
Rh: 0.000 0.000 0.500
S: 0.229 0.250 0.625



Entry 2:
This record from the Alexandria database describes a relaxed structure of RbCuBiO3. The functional is PBE.

Computed properties:
Theoretical density ... 5.83 Mg/m³
Energy relative to the elements, uncorrected ... -95.9 kJ per mole of atoms
Total magnetic moment ... 0.00 μB/f.u.

abc: 3.654 14.661 8.640
angles: 90.00 90.00 90.00
Space group Cmcm (No. 63)
Asymmetric unit:
Rb: 0.000 0.190 0.250
Cu: 0.000 0.109 0.750
Bi: 0.000 0.500 0.000
O: 0.000 0.102 0.542
O: 0.000 0.459 0.750



Entry 3:
This record from the Alexandria database describes a relaxed structure of Mg2ScCd2. The functional is PBE.

Computed properties:
Theoretical density ... 4.57 Mg/m³
Polymorph energy (0 for the lowest one) ... 37.4 meV/atom
Calculated formation energy ... -0.03 eV/atom
Total magnetic moment ... 0.00 μB/f.u.

abc: 4.160 4.160 13.360
angles: 90.00 90.00 90.00
Space group I4/mmm (No. 139)
Asymmetric unit:
Mg: 0.000 0.500 0.250
Sc: 0.000 0.000 0.000
Cd: 0.000 0.000 0.398



Entry 4:
This record from the Alexandria database describes a relaxed structure of SrTl2Pb. The functional is PBE.

Computed properties:
Theoretical density ... 8.09 Mg/m³
Calculated formation energy ... -0.16 eV/atom
Total magnetic moment ... 0.00 μB/f.u.

abc: 4.8604 4.8604 21.1904
angles: 90.00 90.00 120.00
Space group R3m (No. 160, hexagonal axes)
Asymmetric unit:
Sr: 0.0000 0.0000 0.0000
Tl: 0.0000 0.0000 0.4313
Tl: 0.0000 0.0000 0.5810
Pb: 0.0000 0.0000 0.1773



Entry 5:
This record from the Alexandria database describes a relaxed structure of TlAuC. The functional is PBE.

Computed properties:
Theoretical density ... 12.02 Mg/m³
Calculated formation energy ... 1.75 eV/atom
Total magnetic moment ... 0.00 μB/f.u.

abc: 3.9649 3.9649 8.3891
angles: 90.00 90.00 120.00
Space group P6_3/mmc (No. 194)
Asymmetric unit:
Tl: 0.3333 0.6667 0.2500
Au: 0.0000 0.0000 0.0000
C: 0.3333 0.6667 0.7500



Entry 6:
This record from the Alexandria database describes a relaxed structure of Tb12Ho5Er. The functional is PBE.

Computed properties:
Theoretical density ... 8.53 Mg/m³
Calculated formation energy ... 0.02 eV/atom
Total magnetic moment ... 0.00 μB/f.u.

abc: 14.997 15.030 5.006
angles: 90.00 90.00 90.00
Space group Cmmm (No. 65)
Asymmetric unit:
Tb: 0.166 0.000 0.000
Tb: 0.166 0.167 0.500
Tb: 0.166 0.333 0.000
Tb: 0.166 0.500 0.500
Ho: 0.000 0.000 0.500
Ho: 0.000 0.167 0.000
Ho: 0.000 0.333 0.500
Er: 0.000 0.500 0.000



no.,final energy (eV per atom)
1,-7.158
2,-4.964
3,-2.301
4,-2.686
5,-3.203
6,-4.594